Density functional theory data (PBE) for a relaxed LuFe2W crystal.

Cell: 6.2201 6.2201 6.2201 Å, 90.00 90.00 90.00°
With the nearest neighbours (Å) after each atom.
Sites, in units of the cell vectors:
Lu: 0.0000 0.0000 0.0000  4 W 2.69, 4 Fe 2.69
Lu: 0.0000 0.5000 0.5000  4 W 2.69, 4 Fe 2.69
Lu: 0.5000 0.0000 0.5000  4 W 2.69, 4 Fe 2.69
Lu: 0.5000 0.5000 0.0000  4 W 2.69, 4 Fe 2.69
Fe: 0.0000 0.0000 0.5000  4 W 2.69, 4 Fe 2.69
Fe: 0.0000 0.5000 0.0000  4 W 2.69, 4 Fe 2.69
Fe: 0.2500 0.2500 0.2500  4 Fe 2.69, 4 Lu 2.69
Fe: 0.2500 0.7500 0.7500  4 Fe 2.69, 4 Lu 2.69
Fe: 0.5000 0.0000 0.0000  4 W 2.69, 4 Fe 2.69
Fe: 0.5000 0.5000 0.5000  4 W 2.69, 4 Fe 2.69
Fe: 0.7500 0.2500 0.7500  4 Fe 2.69, 4 Lu 2.69
Fe: 0.7500 0.7500 0.2500  4 Fe 2.69, 4 Lu 2.69
W: 0.2500 0.2500 0.7500  4 Fe 2.69, 4 Lu 2.69
W: 0.2500 0.7500 0.2500  4 Fe 2.69, 4 Lu 2.69
W: 0.7500 0.2500 0.2500  4 Fe 2.69, 4 Lu 2.69
W: 0.7500 0.7500 0.7500  4 Fe 2.69, 4 Lu 2.69

Values from the calculation:
Magnetization: 11.70 Bohr magnetons per cell
Calculated formation energy: 432 meV/atom
SG: No. 216

Density functional theory data (PBE) for a relaxed LuFeW2 crystal.

Cell: 6.3685 6.3685 6.3685 Å, 90.00 90.00 90.00°
With the nearest neighbours (Å) after each atom.
Sites, in units of the cell vectors:
Lu: 0.0000 0.0000 0.0000  4 Fe 2.76, 4 W 2.76
Lu: 0.0000 0.5000 0.5000  4 Fe 2.76, 4 W 2.76
Lu: 0.5000 0.0000 0.5000  4 Fe 2.76, 4 W 2.76
Lu: 0.5000 0.5000 0.0000  4 Fe 2.76, 4 W 2.76
Fe: 0.2500 0.2500 0.2500  4 W 2.76, 4 Lu 2.76
Fe: 0.2500 0.7500 0.7500  4 W 2.76, 4 Lu 2.76
Fe: 0.7500 0.2500 0.7500  4 W 2.76, 4 Lu 2.76
Fe: 0.7500 0.7500 0.2500  4 W 2.76, 4 Lu 2.76
W: 0.0000 0.0000 0.5000  4 W 2.76, 4 Fe 2.76
W: 0.0000 0.5000 0.0000  4 W 2.76, 4 Fe 2.76
W: 0.2500 0.2500 0.7500  4 W 2.76, 4 Lu 2.76
W: 0.2500 0.7500 0.2500  4 W 2.76, 4 Lu 2.76
W: 0.5000 0.0000 0.0000  4 W 2.76, 4 Fe 2.76
W: 0.5000 0.5000 0.5000  4 W 2.76, 4 Fe 2.76
W: 0.7500 0.2500 0.2500  4 W 2.76, 4 Lu 2.76
W: 0.7500 0.7500 0.7500  4 W 2.76, 4 Lu 2.76

Values from the calculation:
Magnetization: 3.40 Bohr magnetons per cell
Calculated formation energy: 307 meV/atom
SG: No. 216

Density functional theory data (PBE) for a relaxed LuFeW crystal.

Cell: 6.2498 6.2498 6.2498 Å, 90.00 90.00 90.00°
With the nearest neighbours (Å) after each atom.
Sites, in units of the cell vectors:
Lu: 0.0000 0.0000 0.0000  4 Fe 2.71, 4 W 2.71
Lu: 0.0000 0.5000 0.5000  4 W 2.71, 4 Fe 2.71
Lu: 0.5000 0.0000 0.5000  4 W 2.71, 4 Fe 2.71
Lu: 0.5000 0.5000 0.0000  4 W 2.71, 4 Fe 2.71
Fe: 0.2500 0.2500 0.7500  4 Lu 2.71
Fe: 0.2500 0.7500 0.2500  4 Lu 2.71
Fe: 0.7500 0.2500 0.2500  4 Lu 2.71
Fe: 0.7500 0.7500 0.7500  4 Lu 2.71
W: 0.2500 0.2500 0.2500  4 Lu 2.71
W: 0.2500 0.7500 0.7500  4 Lu 2.71
W: 0.7500 0.2500 0.7500  4 Lu 2.71
W: 0.7500 0.7500 0.2500  4 Lu 2.71

Values from the calculation:
Magnetization: 13.41 Bohr magnetons per cell
Calculated formation energy: 1844 meV/atom
SG: No. 216

Density functional theory data (PBE) for a relaxed Lu2FeW crystal.

Cell: 6.6913 6.6913 6.6913 Å, 90.00 90.00 90.00°
With the nearest neighbours (Å) after each atom.
Sites, in units of the cell vectors:
Lu: 0.0000 0.0000 0.0000  4 Fe 2.90, 4 Lu 2.90
Lu: 0.0000 0.5000 0.5000  4 Fe 2.90, 4 Lu 2.90
Lu: 0.2500 0.2500 0.2500  4 W 2.90, 4 Lu 2.90
Lu: 0.2500 0.7500 0.7500  4 W 2.90, 4 Lu 2.90
Lu: 0.5000 0.0000 0.5000  4 Fe 2.90, 4 Lu 2.90
Lu: 0.5000 0.5000 0.0000  4 Fe 2.90, 4 Lu 2.90
Lu: 0.7500 0.2500 0.7500  4 W 2.90, 4 Lu 2.90
Lu: 0.7500 0.7500 0.2500  4 W 2.90, 4 Lu 2.90
Fe: 0.2500 0.2500 0.7500  4 W 2.90, 4 Lu 2.90
Fe: 0.2500 0.7500 0.2500  4 W 2.90, 4 Lu 2.90
Fe: 0.7500 0.2500 0.2500  4 W 2.90, 4 Lu 2.90
Fe: 0.7500 0.7500 0.7500  4 W 2.90, 4 Lu 2.90
W: 0.0000 0.0000 0.5000  4 Fe 2.90, 4 Lu 2.90
W: 0.0000 0.5000 0.0000  4 Fe 2.90, 4 Lu 2.90
W: 0.5000 0.0000 0.0000  4 Fe 2.90, 4 Lu 2.90
W: 0.5000 0.5000 0.5000  4 Fe 2.90, 4 Lu 2.90

Values from the calculation:
Magnetization: 7.50 Bohr magnetons per cell
Calculated formation energy: 555 meV/atom
SG: No. 216